Entry from Alexandria: a relaxed structure of NaCuN2 (PBE).

Cell lengths 3.807, 3.807, 3.807 Å; angles 60.00, 60.00, 60.00 degrees
Sites, in units of the cell vectors:
Cu 0.500 0.500 0.500
N 0.750 0.750 0.750
N 0.250 0.250 0.250
Na 0.000 0.000 0.000

Values from the calculation:
SG = Fm-3m, No. 225
distance to the lowest polymorph of the same formula = 152.0 kJ/mol of formula units
final energy = -4.1080 eV/atom
raw formation energy = 1.408 eV per atom